A plane-wave DFT calculation with PBE-GGA was carried out for a relaxed structure of Pr5Y5Ho.

Results
For the density of states at the Fermi level, the calculation gives 19.1 states/eV/cell. As for the total energy: -0.194 Ha/atom. The value obtained for the formation energy is 0.26 eV/atom. The calculation puts the magnetization at 0.80 μB per formula unit.

```
data_Pr5Y5Ho
_cell_length_a 9.887
_cell_length_b 9.887
_cell_length_c 7.009
_cell_angle_alpha 107.79
_cell_angle_beta 107.79
_cell_angle_gamma 36.13
_symmetry_space_group_name_H-M 'P 1'
_symmetry_Int_Tables_number 1
loop_
_symmetry_equiv_pos_as_xyz
'x,y,z'
loop_
_atom_site_label
_atom_site_fract_x
_atom_site_fract_y
_atom_site_fract_z
Pr1 0.000 0.000 0.000
Pr2 0.327 0.327 0.309
Pr3 0.374 0.374 0.854
Pr4 0.626 0.626 0.146
Pr5 0.673 0.673 0.691
Y1 0.173 0.173 0.420
Y2 0.177 0.177 0.914
Y3 0.500 0.500 0.500
Y4 0.823 0.823 0.086
Y5 0.827 0.827 0.580
Ho1 0.000 0.000 0.500
```